Record 1
# PmMgCd3, relaxed, DFT PBE
# Energy relative to the elements (eV per formula unit): -0.68
# Magnetization (μB/atom): 0.000
# Electronic total energy (eV per atom): -1.95
# Energy above the most stable polymorph in this dataset (eV/atom): 0.0805
data_PmMgCd3
_symmetry_space_group_name_H-M 'P 63/m m c'
_symmetry_Int_Tables_number 194
_symmetry_space_group_name_Hall '-P 6c 2c'
_cell_length_a 6.9712
_cell_length_b 6.9712
_cell_length_c 5.9839
_cell_angle_alpha 90.00
_cell_angle_beta 90.00
_cell_angle_gamma 120.00
loop_
_atom_site_label
_atom_site_type_symbol
_atom_site_fract_x
_atom_site_fract_y
_atom_site_fract_z
Pm1 Pm 0.3333 0.6667 0.2500
Mg1 Mg 0.0000 0.0000 0.0000
Cd1 Cd 0.1959 0.3919 0.7500



Record 2
# PmPrMgCd, relaxed, DFT PBE
# Energy relative to the elements (eV per formula unit): -0.85
# Magnetization (μB/atom): 0.000
# Electronic total energy (eV per atom): -3.22
data_PmPrMgCd
_symmetry_space_group_name_H-M 'F -4 3 m'
_symmetry_Int_Tables_number 216
_symmetry_space_group_name_Hall 'F -4 2 3'
_cell_length_a 7.735
_cell_length_b 7.735
_cell_length_c 7.735
_cell_angle_alpha 90.00
_cell_angle_beta 90.00
_cell_angle_gamma 90.00
loop_
_atom_site_label
_atom_site_type_symbol
_atom_site_fract_x
_atom_site_fract_y
_atom_site_fract_z
Pm1 Pm 0.000 0.000 0.000
Pr1 Pr 0.000 0.000 0.500
Mg1 Mg 0.250 0.250 0.250
Cd1 Cd 0.250 0.250 0.750



Record 3
# PmPrMgCd, relaxed, DFT PBE
# Energy relative to the elements (eV per formula unit): -0.85
# Magnetization (μB/atom): 0.000
# Electronic total energy (eV per atom): -3.22
data_PmPrMgCd
_symmetry_space_group_name_H-M 'P 4 m m'
_symmetry_Int_Tables_number 99
_cell_length_a 3.879
_cell_length_b 3.879
_cell_length_c 7.714
_cell_angle_alpha 90.00
_cell_angle_beta 90.00
_cell_angle_gamma 90.00
loop_
_symmetry_equiv_pos_as_xyz
'x,y,z'
'-y,x,z'
'-x,-y,z'
'y,-x,z'
'-x,y,z'
'y,x,z'
'x,-y,z'
'-y,-x,z'
loop_
_atom_site_label
_atom_site_type_symbol
_atom_site_fract_x
_atom_site_fract_y
_atom_site_fract_z
Pm1 Pm 0.000 0.000 0.000
Pr1 Pr 0.000 0.000 0.500
Mg1 Mg 0.500 0.500 0.755
Cd1 Cd 0.500 0.500 0.243